Entry 1:
# AcLaTb3Pm PBE relaxed
data_AcLaTb3Pm
_cell_length_a 5.8263
_cell_length_b 11.6542
_cell_length_c 7.1727
_cell_angle_alpha 90.02
_cell_angle_beta 90.00
_cell_angle_gamma 120.01
_space_group_name_H-M_alt 'P 1'
_space_group_IT_number 1
loop_
_space_group_symop_operation_xyz
'x,y,z'
loop_
_atom_site_label
_atom_site_fract_x
_atom_site_fract_y
_atom_site_fract_z
Ac1 0.4976 0.7475 0.0010
Ac2 0.5024 0.2525 0.9990
La1 0.5036 0.2536 0.5010
La2 0.4964 0.7464 0.4990
Tb1 0.8323 0.5835 0.2532
Tb2 0.8343 0.5831 0.7469
Tb3 0.1676 0.9164 0.2542
Tb4 0.1657 0.4169 0.2531
Tb5 0.8324 0.0836 0.7458
Tb6 0.1677 0.4165 0.7468
Pm1 0.8346 0.0832 0.2536
Pm2 0.1654 0.9168 0.7464
# Symmetry: P-1
# DFT formation energy (eV per atom): 0.07

=====

Entry 2:
# Ac2La2TbPm4 PBE relaxed
data_Ac2La2TbPm4
_cell_length_a 3.7880
_cell_length_b 9.9218
_cell_length_c 10.0597
_cell_angle_alpha 115.29
_cell_angle_beta 90.00
_cell_angle_gamma 101.00
_space_group_name_H-M_alt 'P 1'
_space_group_IT_number 1
loop_
_space_group_symop_operation_xyz
'x,y,z'
loop_
_atom_site_label
_atom_site_fract_x
_atom_site_fract_y
_atom_site_fract_z
Ac1 0.8556 0.7112 0.3371
Ac2 0.1444 0.2888 0.6629
La1 0.3357 0.6714 0.9970
La2 0.6643 0.3286 0.0030
Tb1 0.0000 0.0000 0.0000
Pm1 0.8153 0.6306 0.6666
Pm2 0.1847 0.3694 0.3334
Pm3 0.5190 0.0379 0.3185
Pm4 0.4810 0.9621 0.6815
# Symmetry: C2/m
# DFT formation energy (eV per atom): 0.03

=====

Entry 3:
# AcLaTbPm3 PBE relaxed
data_AcLaTbPm3
_cell_length_a 5.2494
_cell_length_b 8.3028
_cell_length_c 11.1009
_cell_angle_alpha 116.41
_cell_angle_beta 90.00
_cell_angle_gamma 90.00
_space_group_name_H-M_alt 'P 1'
_space_group_IT_number 1
loop_
_space_group_symop_operation_xyz
'x,y,z'
loop_
_atom_site_label
_atom_site_fract_x
_atom_site_fract_y
_atom_site_fract_z
Ac1 0.2500 0.1260 0.2930
Ac2 0.7500 0.8740 0.7070
La1 0.2500 0.6228 0.1262
La2 0.7500 0.3772 0.8738
Tb1 0.2500 0.1261 0.6246
Tb2 0.7500 0.8739 0.3754
Pm1 0.7500 0.8717 0.0407
Pm2 0.2500 0.1283 0.9593
Pm3 0.2500 0.6262 0.4556
Pm4 0.7500 0.3738 0.5444
Pm5 0.7500 0.3792 0.2091
Pm6 0.2500 0.6208 0.7909
# Symmetry: P2_1/m
# DFT formation energy (eV per atom): 0.04

=====

Entry 4:
# AcLa2TbPm5 PBE relaxed
data_AcLa2TbPm5
_cell_length_a 5.8140
_cell_length_b 10.3374
_cell_length_c 11.4391
_cell_angle_alpha 90.00
_cell_angle_beta 90.00
_cell_angle_gamma 106.33
_space_group_name_H-M_alt 'P 1'
_space_group_IT_number 1
loop_
_space_group_symop_operation_xyz
'x,y,z'
loop_
_atom_site_label
_atom_site_fract_x
_atom_site_fract_y
_atom_site_fract_z
Ac1 0.7768 0.5535 0.4790
Ac2 0.2232 0.4465 0.9790
La1 0.8618 0.7237 0.8512
La2 0.0955 0.1909 0.7430
La3 0.1382 0.2763 0.3512
La4 0.9045 0.8091 0.2430
Tb1 0.5872 0.1744 0.9637
Tb2 0.4128 0.8256 0.4637
Pm1 0.4135 0.8271 0.0387
Pm2 0.7021 0.4042 0.7768
Pm3 0.4658 0.9317 0.7484
Pm4 0.2846 0.5692 0.6765
Pm5 0.9698 0.9395 0.5467
Pm6 0.5865 0.1729 0.5387
Pm7 0.2979 0.5958 0.2768
Pm8 0.5342 0.0683 0.2484
Pm9 0.7154 0.4308 0.1765
Pm10 0.0302 0.0605 0.0467
# Symmetry: Cmc2_1
# DFT formation energy (eV per atom): 0.12

=====

Entry 5:
# AcLaTb2Pm5 PBE relaxed
data_AcLaTb2Pm5
_cell_length_a 5.6710
_cell_length_b 12.4062
_cell_length_c 9.5724
_cell_angle_alpha 90.00
_cell_angle_beta 90.00
_cell_angle_gamma 103.21
_space_group_name_H-M_alt 'P 1'
_space_group_IT_number 1
loop_
_space_group_symop_operation_xyz
'x,y,z'
loop_
_atom_site_label
_atom_site_fract_x
_atom_site_fract_y
_atom_site_fract_z
Ac1 0.6027 0.2055 0.9264
Ac2 0.3973 0.7945 0.4264
La1 0.7650 0.5301 0.5365
La2 0.2350 0.4699 0.0365
Tb1 0.8881 0.7761 0.7902
Tb2 0.1694 0.3388 0.6717
Tb3 0.1119 0.2239 0.2902
Tb4 0.8306 0.6612 0.1717
Pm1 0.3976 0.7953 0.0325
Pm2 0.7414 0.4828 0.8584
Pm3 0.4754 0.9508 0.7506
Pm4 0.3114 0.6228 0.7303
Pm5 0.0058 0.0116 0.5273
Pm6 0.6024 0.2047 0.5325
Pm7 0.2586 0.5172 0.3584
Pm8 0.5246 0.0492 0.2506
Pm9 0.6886 0.3772 0.2303
Pm10 0.9942 0.9884 0.0273
# Symmetry: Cmc2_1
# DFT formation energy (eV per atom): 0.14

=====

Entry 6:
# Ac5La2TbPm PBE relaxed
data_Ac5La2TbPm
_cell_length_a 8.5170
_cell_length_b 8.5170
_cell_length_c 11.9348
_cell_angle_alpha 110.90
_cell_angle_beta 110.90
_cell_angle_gamma 90.00
_space_group_name_H-M_alt 'P 1'
_space_group_IT_number 1
loop_
_space_group_symop_operation_xyz
'x,y,z'
loop_
_atom_site_label
_atom_site_fract_x
_atom_site_fract_y
_atom_site_fract_z
Ac1 0.9109 0.4109 0.2787
Ac2 0.6322 0.1322 0.7213
Ac3 0.0891 0.5891 0.7213
Ac4 0.1322 0.0891 0.7213
Ac5 0.5891 0.6322 0.7213
Ac6 0.8678 0.9109 0.2787
Ac7 0.4109 0.3678 0.2787
Ac8 0.3678 0.8678 0.2787
Ac9 0.5000 0.5000 0.0000
Ac10 0.0000 0.0000 0.0000
La1 0.1212 0.3788 0.0000
La2 0.6212 0.1212 0.0000
La3 0.3788 0.8788 0.0000
La4 0.8788 0.6212 0.0000
Tb1 0.2500 0.7500 0.5000
Tb2 0.7500 0.2500 0.5000
Pm1 0.2500 0.2500 0.5000
Pm2 0.7500 0.7500 0.5000
# Symmetry: I4/mcm
# DFT formation energy (eV per atom): 0.26

=====

Entry 7:
# AcLa2Pm3Te6 PBE relaxed
data_AcLa2Pm3Te6
_cell_length_a 4.5377
_cell_length_b 9.1337
_cell_length_c 10.1600
_cell_angle_alpha 102.88
_cell_angle_beta 102.90
_cell_angle_gamma 90.00
_space_group_name_H-M_alt 'P 1'
_space_group_IT_number 1
loop_
_space_group_symop_operation_xyz
'x,y,z'
loop_
_atom_site_label
_atom_site_fract_x
_atom_site_fract_y
_atom_site_fract_z
Ac1 0.5000 0.0000 0.0000
La1 0.8320 0.6654 0.6641
La2 0.1680 0.3346 0.3359
Pm1 0.5000 0.5000 0.0000
Pm2 0.8348 0.1697 0.6696
Pm3 0.1652 0.8303 0.3304
Te1 0.3289 0.9202 0.6578
Te2 0.6646 0.5866 0.3292
Te3 0.6711 0.0798 0.3422
Te4 0.9996 0.2610 0.9991
Te5 0.0004 0.7390 0.0009
Te6 0.3354 0.4134 0.6708
# Symmetry: C2/m
# Formation energy from raw total energies (eV per formula unit): -17.802

=====

Entry 8:
# Ac3La2PmTe6 PBE relaxed
data_Ac3La2PmTe6
_cell_length_a 4.6163
_cell_length_b 9.3320
_cell_length_c 10.3822
_cell_angle_alpha 103.42
_cell_angle_beta 102.85
_cell_angle_gamma 90.00
_space_group_name_H-M_alt 'P 1'
_space_group_IT_number 1
loop_
_space_group_symop_operation_xyz
'x,y,z'
loop_
_atom_site_label
_atom_site_fract_x
_atom_site_fract_y
_atom_site_fract_z
Ac1 0.5000 0.5000 0.0000
Ac2 0.8320 0.1656 0.6641
Ac3 0.1679 0.8344 0.3359
La1 0.8340 0.6675 0.6680
La2 0.1660 0.3325 0.3320
Pm1 0.5000 0.0000 0.0000
Te1 0.3381 0.9126 0.6761
Te2 0.6690 0.5779 0.3379
Te3 0.6619 0.0874 0.3239
Te4 0.0011 0.2393 0.0022
Te5 0.9989 0.7607 0.9978
Te6 0.3310 0.4221 0.6621
# Symmetry: C2/m
# Formation energy from raw total energies (eV per formula unit): -18.117

=====

Entry 9:
# Ac3La4PmTe8 PBE relaxed
data_Ac3La4PmTe8
_cell_length_a 9.2610
_cell_length_b 9.2520
_cell_length_c 9.2585
_cell_angle_alpha 120.01
_cell_angle_beta 120.01
_cell_angle_gamma 90.00
_space_group_name_H-M_alt 'P 1'
_space_group_IT_number 1
loop_
_space_group_symop_operation_xyz
'x,y,z'
loop_
_atom_site_label
_atom_site_fract_x
_atom_site_fract_y
_atom_site_fract_z
Ac1 0.5000 0.5000 0.0000
Ac2 0.5000 0.5000 0.5000
Ac3 0.0000 0.5000 0.5000
La1 0.5000 0.0000 0.0000
La2 0.5000 0.0000 0.5000
La3 0.0000 0.0000 0.0000
La4 0.0000 0.0000 0.5000
Pm1 0.0000 0.5000 0.0000
Te1 0.2473 0.7538 0.0064
Te2 0.2473 0.7538 0.4947
Te3 0.2467 0.2401 0.4934
Te4 0.7591 0.7538 0.0064
Te5 0.2409 0.2462 0.9936
Te6 0.7533 0.7599 0.5066
Te7 0.7527 0.2462 0.5053
Te8 0.7527 0.2462 0.9936
# Symmetry: R-3m
# Formation energy from raw total energies (eV per formula unit): -24.397

=====

Entry 10:
# Ac3LaPm3Te8 PBE relaxed
data_Ac3LaPm3Te8
_cell_length_a 9.1019
_cell_length_b 9.1020
_cell_length_c 9.2399
_cell_angle_alpha 119.51
_cell_angle_beta 90.00
_cell_angle_gamma 120.00
_space_group_name_H-M_alt 'P 1'
_space_group_IT_number 1
loop_
_space_group_symop_operation_xyz
'x,y,z'
loop_
_atom_site_label
_atom_site_fract_x
_atom_site_fract_y
_atom_site_fract_z
Ac1 0.0000 0.0000 0.0000
Ac2 0.0000 0.5000 0.0000
Ac3 0.5000 0.5000 0.0000
La1 0.0000 0.0000 0.5000
Pm1 0.5000 0.0000 0.5000
Pm2 0.5000 0.5000 0.5000
Pm3 0.0000 0.5000 0.5000
Te1 0.2556 0.5111 0.2667
Te2 0.7444 0.4889 0.7333
Te3 0.7460 0.4920 0.2573
Te4 0.2540 0.5080 0.7427
Te5 0.7460 0.0112 0.2573
Te6 0.2540 0.9888 0.7427
Te7 0.2652 0.0112 0.2573
Te8 0.7348 0.9888 0.7427
# Symmetry: R-3m
# Formation energy from raw total energies (eV per formula unit): -22.459

=====

For each record above, in turn, the calculated total DFT energy (no corrections) values are -4.546 -4.607 -4.618 -4.581 -4.532 -4.160 -5.406 -5.325 -5.395 -5.273 eV per atom.